First-principles (GGA-PBE) data for a relaxed CeHf2NiP4 crystal, as listed in Alexandria.

Unit cell a=3.7497 b=12.3849 c=12.7511 alpha=90.00 beta=90.00 gamma=90.00
Closest atoms and distances in Å follow each position.
Space group Cmcm (No. 63)
Asymmetric unit:
Ce (0.0000, 0.1126, 0.2500) x4  6 P 2.79-2.88
Hf (0.0000, 0.3667, 0.0611) x8  6 P 2.60-2.65
Ni (0.0000, 0.1513, 0.7500) x4  4 P 2.23
P (0.0000, 0.0000, 0.0000) x4  4 Hf 2.62
P (0.0000, 0.2718, 0.6206) x8  1 Ni 2.23
P (0.0000, 0.4461, 0.2500) x4  2 Ni 2.23

Properties
Fermi-level density of states ... 0.3103 states/eV/atom
Crystal system ... orthorhombic
E_form ... -1.1708 eV/atom
Total energy ... -7.829 eV/atom